{"formula": "Zn2FeCu", "functional": "PBE", "state": "relaxed", "delta_e_f_ev_per_atom": 0.11, "space_group": "F-43m (216)", "lattice_angstrom": [[4.1948, 0.0000, 0.0000], [2.0974, 3.6328, 0.0000], [2.0974, 1.2109, 3.4251]], "species": ["Cu", "Fe", "Zn", "Zn"], "fractional_positions": [[0.5000, 0.5000, 0.5000], [0.7500, 0.7500, 0.7500], [0.0000, 0.0000, 0.0000], [0.2500, 0.2500, 0.2500]]}